BSeOF2 (SCAN, single point on PBEsol structure); E_tot = -9.19 eV/atom; uncorrected formation energy = -1.03 eV/atom; M_tot = 0.31 μB/atom; symmetry = P4/mmm (123); DOS at the Fermi energy = 2.0 states/eV/cell
1.0
2.613 0.000 0.000
0.000 4.529 0.000
0.000 0.000 4.529
B O Se F
1 1 1 2
Direct
0.000 0.000 0.000
0.500 0.000 0.000
0.500 0.500 0.500
0.000 0.000 0.500
0.000 0.500 0.000